LiSiPd2: relaxed, PBE-GGA.

E_tot (eV per formula unit): -19.2
Symmetry: F-43m (216)
Volume (Å³/cell): 55.8

a = 4.2902 Å, b = 4.2902 Å, c = 4.2902 Å
α = 60.00°, β = 60.00°, γ = 60.00°
Positions (direct):
Li: 0.0000 0.0000 0.0000
Si: 0.7500 0.7500 0.7500
Pd: 0.2500 0.2500 0.2500
Pd: 0.5000 0.5000 0.5000

---

LiSiPd2: relaxed, PBE-GGA.

E_tot (eV per formula unit): -19.4
Symmetry: P6_3/mmc (194)
Volume (Å³/cell): 119.0

a = 4.2862 Å, b = 4.2862 Å, c = 7.4767 Å
α = 90.00°, β = 90.00°, γ = 120.00°
Positions (direct):
Li: 0.0000 0.0000 0.0000
Li: 0.0000 0.0000 0.5000
Si: 0.3333 0.6667 0.2500
Si: 0.6667 0.3333 0.7500
Pd: 0.3333 0.6667 0.5791
Pd: 0.3333 0.6667 0.9209
Pd: 0.6667 0.3333 0.0791
Pd: 0.6667 0.3333 0.4209